Density functional theory data (GGA-PBE) for an optimized crystal structure of Na7InHg2.

Unit cell a=5.402 b=8.884 c=8.884 alpha=118.34 beta=90.00 gamma=90.00
Fractional positions:
Na: 0.500 0.299 0.067
In: 0.000 0.000 0.000
Na: 0.500 0.701 0.933
Hg: 0.500 0.301 0.699
Na: 0.500 0.933 0.701
Na: 0.000 0.781 0.219
Na: 0.500 0.067 0.299
Hg: 0.500 0.699 0.301
Na: 0.000 0.219 0.781
Na: 0.500 0.500 0.500

Values from the calculation:
Calculated volume ... 37.53 Å³/atom
Formation enthalpy at 0 K ... 0.018 eV per atom
Total energy ... -1.24 eV/atom
Relative energy among the computed polymorphs ... 10.2 kJ per mole of atoms